First-principles (PBE) data for CsK2NaZn after structural relaxation, as listed in the Alexandria database.

Results
energy relative to the lowest polymorph listed for this composition	0	meV per atom
total moment	0.00	Bohr magnetons per cell
energy of formation from the pure elements	0.107	eV per atom
calculated total energy	-1.02	eV per atom

Cell and atoms, written as extended XYZ:
```
5
Lattice="6.807 0.000 0.000 0.000 6.807 0.000 0.000 0.000 6.371" Properties=species:S:1:pos:R:3 pbc="T T T"
Cs 0.000 0.000 0.000
K 0.000 3.404 3.186
K 3.404 0.000 3.186
Na 3.404 3.404 0.000
Zn 3.404 3.404 3.186
```

---

First-principles (PBE) data for MnHg2Sb after structural relaxation, as listed in the Alexandria database.

Results
total moment	3.65	Bohr magnetons per cell
ΔE_f (raw)	18	kJ/mol of atoms
calculated total energy	-3.28	eV per atom

Cell and atoms, written as extended XYZ:
```
4
Lattice="-1.551 2.378 6.470 1.551 -2.378 6.470 1.551 2.378 -6.470" Properties=species:S:1:pos:R:3 pbc="T T T"
Mn 0.000 0.000 0.000
Hg 0.000 0.000 6.428
Hg 0.000 2.378 4.066
Sb 1.551 0.000 2.342
```

---

First-principles (PBE) data for VSbTe2C after structural relaxation, as listed in the Alexandria database.

Results
energy relative to the lowest polymorph listed for this composition	0	meV per atom
total moment	0.09	Bohr magnetons per cell
ΔE_f (raw)	121	kJ/mol of atoms
calculated total energy	-4.50	eV per atom

Cell and atoms, written as extended XYZ:
```
5
Lattice="4.679 0.000 0.000 0.000 4.679 0.000 0.000 0.000 4.674" Properties=species:S:1:pos:R:3 pbc="T T T"
V 0.000 0.000 0.000
Sb 2.340 2.340 0.000
Te 0.000 2.340 2.337
Te 2.340 0.000 2.337
C 2.340 2.340 2.337
```

---

First-principles (PBE) data for NdYBe2Pd5 after structural relaxation, as listed in the Alexandria database.

Results
total moment	0.00	Bohr magnetons per cell
energy of formation from the pure elements	-0.690	eV per atom
calculated total energy	-5.65	eV per atom

Cell and atoms, written as extended XYZ:
```
9
Lattice="4.081 0.000 0.000 0.000 4.081 0.000 0.000 0.000 9.106" Properties=species:S:1:pos:R:3 pbc="T T T"
Nd 0.000 0.000 0.000
Y 0.000 0.000 4.553
Be 2.040 2.040 3.350
Be 2.040 2.040 5.756
Pd 0.000 2.040 2.256
Pd 0.000 2.040 6.850
Pd 2.040 0.000 2.256
Pd 2.040 0.000 6.850
Pd 2.040 2.040 0.000
```

---

First-principles (PBE) data for Nd2YHo5 after structural relaxation, as listed in the Alexandria database.

Results
energy relative to the lowest polymorph listed for this composition	145	meV per atom
total moment	0.00	Bohr magnetons per cell
energy of formation from the pure elements	0.166	eV per atom
calculated total energy	-4.69	eV per atom

Cell and atoms, written as extended XYZ:
```
16
Lattice="8.117 -4.938 0.000 8.117 4.938 0.000 -1.040 0.000 6.478" Properties=species:S:1:pos:R:3 pbc="T T T"
Nd 5.918 2.515 5.719
Nd 8.756 2.515 3.999
Nd 6.438 -2.515 2.480
Nd 9.276 -2.515 0.759
Y 4.059 2.469 0.000
Y 3.539 -2.469 3.239
Ho 0.957 0.879 4.190
Ho 1.477 -0.879 0.951
Ho 4.412 0.869 3.079
Ho 3.892 -0.869 6.318
Ho 7.857 0.580 1.620
Ho 7.337 -0.580 4.859
Ho 11.302 0.869 0.160
Ho 10.782 -0.869 3.399
Ho 13.717 0.879 5.528
Ho 14.237 -0.879 2.289
```

---

First-principles (PBE) data for Tb5PmSm3 after structural relaxation, as listed in the Alexandria database.

Results
energy relative to the lowest polymorph listed for this composition	0	meV per atom
total moment	0.00	Bohr magnetons per cell
energy of formation from the pure elements	0.288	eV per atom
calculated total energy	-4.39	eV per atom

Cell and atoms, written as extended XYZ:
```
18
Lattice="9.069 -3.191 0.000 9.069 3.191 0.000 -4.016 0.000 10.733" Properties=species:S:1:pos:R:3 pbc="T T T"
Tb 4.815 1.857 3.040
Tb 6.057 2.545 8.050
Tb 3.499 1.128 6.661
Tb 11.315 1.857 2.326
Tb 8.614 1.128 9.438
Tb 5.508 -1.128 1.295
Tb 2.807 -1.857 8.406
Tb 10.622 -1.128 4.072
Tb 8.065 -2.545 2.683
Tb 9.307 -1.857 7.693
Pm 8.065 0.819 2.683
Pm 6.057 -0.819 8.050
Sm 2.242 2.022 10.566
Sm 9.871 2.022 5.533
Sm 9.069 0.000 0.000
Sm 7.061 0.000 5.366
Sm 4.250 -2.022 5.200
Sm 11.879 -2.022 0.167
```

---

First-principles (PBE) data for Zn2MoRh after structural relaxation, as listed in the Alexandria database.

Results
energy relative to the lowest polymorph listed for this composition	203	meV per atom
total moment	0.00	Bohr magnetons per cell
energy of formation from the pure elements	0.048	eV per atom
calculated total energy	-5.13	eV per atom

Cell and atoms, written as extended XYZ:
```
4
Lattice="2.663 -4.044 0.000 2.663 4.044 0.000 0.000 0.000 2.718" Properties=species:S:1:pos:R:3 pbc="T T T"
Zn 1.331 2.022 0.000
Zn 1.331 -2.022 0.000
Mo 0.000 0.000 1.359
Rh 2.663 0.000 1.359
```

---

First-principles (PBE) data for Ce2ThTlN after structural relaxation, as listed in the Alexandria database.

Results
total moment	1.63	Bohr magnetons per cell
ΔE_f (raw)	-72	kJ/mol of atoms
calculated total energy	-6.74	eV per atom

Cell and atoms, written as extended XYZ:
```
5
Lattice="4.959 0.000 0.000 0.000 4.959 0.000 0.000 0.000 4.957" Properties=species:S:1:pos:R:3 pbc="T T T"
Ce 0.000 2.480 0.000
Ce 2.480 0.000 0.000
Th 0.000 0.000 2.479
Tl 2.480 2.480 2.479
N 0.000 0.000 0.000
```

---

First-principles (PBE) data for Sr2InH6Ir after structural relaxation, as listed in the Alexandria database.

Results
total moment	0.00	Bohr magnetons per cell
calculated total energy	-3.97	eV per atom

Cell and atoms, written as extended XYZ:
```
10
Lattice="5.000 0.000 0.000 -2.500 4.330 0.000 0.000 0.000 7.221" Properties=species:S:1:pos:R:3 pbc="T T T"
Sr 0.000 2.887 1.512
Sr 2.500 1.443 5.709
In 0.000 0.000 3.611
H 0.000 1.401 6.283
H -1.286 3.629 6.283
H 1.214 0.701 0.938
H 1.286 3.629 6.283
H 3.786 0.701 0.938
H 2.500 2.929 0.938
Ir 0.000 0.000 0.000
```

---

First-principles (PBE) data for Zr2CrOs after structural relaxation, as listed in the Alexandria database.

Results
total moment	5.97	Bohr magnetons per cell
energy of formation from the pure elements	0.439	eV per atom
calculated total energy	-9.05	eV per atom

Cell and atoms, written as extended XYZ:
```
8
Lattice="-3.669 3.669 2.910 3.669 -3.669 2.910 3.669 3.669 -2.910" Properties=species:S:1:pos:R:3 pbc="T T T"
Zr 5.504 1.698 -0.727
Zr 1.698 1.835 0.727
Zr -1.835 1.972 2.182
Zr 1.972 1.835 3.637
Cr 3.669 0.000 1.455
Cr 0.000 0.000 2.910
Os 0.000 0.000 0.000
Os 0.000 3.669 1.455
```

---

First-principles (PBE) data for ReRh after structural relaxation, as listed in the Alexandria database.

Results
energy relative to the lowest polymorph listed for this composition	421	meV per atom
total moment	0.00	Bohr magnetons per cell
energy of formation from the pure elements	0.244	eV per atom
calculated total energy	-9.66	eV per atom

Cell and atoms, written as extended XYZ:
```
6
Lattice="4.605 0.000 0.000 0.000 2.293 4.224 0.000 -2.293 4.224" Properties=species:S:1:pos:R:3 pbc="T T T"
Re 0.000 0.000 0.000
Re 0.000 0.000 2.935
Re 2.303 0.000 7.185
Rh 0.000 0.000 5.687
Rh 2.303 0.000 1.607
Rh 2.303 0.000 4.344
```

---

First-principles (PBE) data for TaInCu2 after structural relaxation, as listed in the Alexandria database.

Results
total moment	0.00	Bohr magnetons per cell
energy of formation from the pure elements	0.578	eV per atom
calculated total energy	-5.12	eV per atom

Cell and atoms, written as extended XYZ:
```
8
Lattice="-3.512 3.512 2.858 3.512 -3.512 2.858 3.512 3.512 -2.858" Properties=species:S:1:pos:R:3 pbc="T T T"
Ta 0.000 0.000 0.000
Ta 0.000 3.512 1.429
In 3.512 0.000 1.429
In 0.000 0.000 2.858
Cu 5.268 1.718 -0.715
Cu 1.718 1.756 0.715
Cu -1.756 1.794 2.144
Cu 1.794 1.756 3.573
```

---

First-principles (PBE) data for KAlS2 after structural relaxation, as listed in the Alexandria database.

Results
total moment	0.00	Bohr magnetons per cell
ΔE_f (raw)	-91	kJ/mol of atoms
calculated total energy	-4.22	eV per atom

Cell and atoms, written as extended XYZ:
```
4
Lattice="3.903 0.000 0.000 -1.951 3.380 0.000 0.000 0.000 7.625" Properties=species:S:1:pos:R:3 pbc="T T T"
K 0.000 0.000 0.000
Al 0.000 2.253 3.680
S 0.000 2.253 5.762
S 1.951 1.127 2.649
```

---

First-principles (PBE) data for La3ErIn2 after structural relaxation, as listed in the Alexandria database.

Results
energy relative to the lowest polymorph listed for this composition	0	meV per atom
total moment	0.00	Bohr magnetons per cell
energy of formation from the pure elements	-0.358	eV per atom
calculated total energy	-4.49	eV per atom

Cell and atoms, written as extended XYZ:
```
12
Lattice="5.355 0.000 0.000 0.000 10.311 0.000 0.000 0.000 6.902" Properties=species:S:1:pos:R:3 pbc="T T T"
La 0.000 0.429 0.000
La 0.000 3.358 2.491
La 0.000 6.953 5.942
La 0.000 9.882 3.451
La 2.678 1.913 5.175
La 2.678 8.398 1.724
Er 2.678 4.740 0.633
Er 2.678 5.571 4.084
In 0.000 3.747 5.858
In 0.000 6.565 2.407
In 2.678 1.491 1.797
In 2.678 8.820 5.248
```

---

First-principles (PBE) data for BaHoPt4 after structural relaxation, as listed in the Alexandria database.

Results
total moment	0.00	Bohr magnetons per cell
energy of formation from the pure elements	-0.832	eV per atom
calculated total energy	-5.94	eV per atom

Cell and atoms, written as extended XYZ:
```
6
Lattice="0.000 3.935 3.935 3.935 0.000 3.935 3.935 3.935 0.000" Properties=species:S:1:pos:R:3 pbc="T T T"
Ba 0.000 0.000 0.000
Ho 5.903 5.903 5.903
Pt 2.956 2.956 2.956
Pt 4.915 4.915 2.956
Pt 4.915 2.956 4.915
Pt 2.956 4.915 4.915
```

---

First-principles (PBE) data for NbMo after structural relaxation, as listed in the Alexandria database.

Results
total moment	0.00	Bohr magnetons per cell
energy of formation from the pure elements	1.510	eV per atom
calculated total energy	-8.94	eV per atom

Cell and atoms, written as extended XYZ:
```
4
Lattice="4.405 0.000 0.000 -2.203 3.815 0.000 0.000 0.000 5.402" Properties=species:S:1:pos:R:3 pbc="T T T"
Nb 0.000 2.543 1.351
Nb 2.203 1.272 4.052
Mo 0.000 2.543 4.052
Mo 2.203 1.272 1.351
```

---

First-principles (PBE) data for K3In2I8 after structural relaxation, as listed in the Alexandria database.

Results
total moment	0.00	Bohr magnetons per cell
ΔE_f (raw)	-86	kJ/mol of atoms
calculated total energy	-2.52	eV per atom

Cell and atoms, written as extended XYZ:
```
13
Lattice="7.901 -5.198 0.000 7.901 5.198 0.000 -3.217 0.000 8.169" Properties=species:S:1:pos:R:3 pbc="T T T"
K 0.000 0.000 0.000
K 6.292 2.315 4.084
K 6.292 -2.315 4.084
In 2.184 0.000 7.122
In 10.401 0.000 1.047
I -0.455 0.000 5.870
I 3.427 2.402 6.189
I 4.870 0.000 1.769
I 9.158 2.402 1.979
I 3.427 -2.402 6.189
I 7.715 0.000 6.400
I 9.158 -2.402 1.979
I 13.039 0.000 2.298
```

---

First-principles (PBE) data for Pm8YTh3 after structural relaxation, as listed in the Alexandria database.

Results
total moment	0.00	Bohr magnetons per cell
energy of formation from the pure elements	0.053	eV per atom
calculated total energy	-5.51	eV per atom

Cell and atoms, written as extended XYZ:
```
12
Lattice="6.274 0.000 0.000 1.059 6.205 0.000 1.043 2.974 10.382" Properties=species:S:1:pos:R:3 pbc="T T T"
Pm 0.557 2.573 1.725
Pm 2.609 4.335 6.052
Pm 2.647 3.242 9.533
Pm 3.609 2.049 3.413
Pm 4.767 7.130 6.969
Pm 5.729 5.936 0.849
Pm 5.767 4.844 4.330
Pm 7.819 6.606 8.658
Y 0.521 1.487 5.191
Th 2.644 5.363 2.578
Th 3.667 3.102 0.000
Th 5.732 3.816 7.805
```

---

First-principles (PBE) data for CoCuPd4 after structural relaxation, as listed in the Alexandria database.

Results
energy relative to the lowest polymorph listed for this composition	0	meV per atom
total moment	2.87	Bohr magnetons per cell
energy of formation from the pure elements	-0.044	eV per atom
calculated total energy	-5.37	eV per atom

Cell and atoms, written as extended XYZ:
```
6
Lattice="2.749 0.000 0.000 0.000 2.749 0.000 0.000 0.000 11.293" Properties=species:S:1:pos:R:3 pbc="T T T"
Co 0.000 0.000 0.000
Cu 1.374 1.374 5.646
Pd 0.000 0.000 3.831
Pd 0.000 0.000 7.462
Pd 1.374 1.374 1.767
Pd 1.374 1.374 9.526
```

---

First-principles (PBE) data for CePm2Tm3S6 after structural relaxation, as listed in the Alexandria database.

Results
total moment	1.02	Bohr magnetons per cell
ΔE_f (raw)	-192	kJ/mol of atoms
calculated total energy	-6.46	eV per atom

Cell and atoms, written as extended XYZ:
```
12
Lattice="8.636 -1.946 0.000 8.636 1.946 0.000 -2.035 0.000 7.712" Properties=species:S:1:pos:R:3 pbc="T T T"
Ce 0.000 0.000 0.000
Pm 4.414 0.000 5.157
Pm 10.823 0.000 2.555
Tm -1.017 0.000 3.856
Tm 5.422 0.000 1.272
Tm 9.815 0.000 6.440
S 1.609 0.000 4.583
S 2.804 0.000 0.567
S 8.033 0.000 2.009
S 7.203 0.000 5.703
S 12.433 0.000 7.145
S 13.628 0.000 3.129
```

---

First-principles (PBE) data for AcSnP after structural relaxation, as listed in the Alexandria database.

Results
energy relative to the lowest polymorph listed for this composition	56	meV per atom
total moment	0.00	Bohr magnetons per cell
energy of formation from the pure elements	-0.557	eV per atom
calculated total energy	-5.06	eV per atom

Cell and atoms, written as extended XYZ:
```
12
Lattice="7.160 0.000 0.000 0.000 7.160 0.000 0.000 0.000 7.160" Properties=species:S:1:pos:R:3 pbc="T T T"
Ac 0.176 3.404 3.757
Ac 3.404 3.757 0.176
Ac 3.757 0.176 3.404
Ac 6.984 6.984 6.984
Sn 0.136 7.024 3.444
Sn 3.444 0.136 7.024
Sn 3.716 3.716 3.716
Sn 7.024 3.444 0.136
P 1.592 5.568 1.988
P 1.988 1.592 5.568
P 5.172 5.172 5.172
P 5.568 1.988 1.592
```

---

First-principles (PBE) data for Ni2IrBr after structural relaxation, as listed in the Alexandria database.

Results
energy relative to the lowest polymorph listed for this composition	139	meV per atom
total moment	0.01	Bohr magnetons per cell
ΔE_f (raw)	49	kJ/mol of atoms
calculated total energy	-5.02	eV per atom

Cell and atoms, written as extended XYZ:
```
4
Lattice="3.980 -1.482 0.000 3.980 1.482 0.000 -1.307 0.000 6.077" Properties=species:S:1:pos:R:3 pbc="T T T"
Ni 0.000 0.000 0.000
Ni 5.684 0.000 1.014
Ir 3.436 0.000 1.888
Br -0.135 0.000 4.031
```

---

First-principles (PBE) data for CuPtBr2 after structural relaxation, as listed in the Alexandria database.

Results
energy relative to the lowest polymorph listed for this composition	584	meV per atom
total moment	1.02	Bohr magnetons per cell
ΔE_f (raw)	61	kJ/mol of atoms
calculated total energy	-2.74	eV per atom

Cell and atoms, written as extended XYZ:
```
4
Lattice="0.000 3.386 3.386 3.386 0.000 3.386 3.386 3.386 0.000" Properties=species:S:1:pos:R:3 pbc="T T T"
Cu 0.000 0.000 0.000
Pt 3.386 3.386 3.386
Br 1.693 1.693 1.693
Br 5.080 5.080 5.080
```

---

First-principles (PBE) data for Ac4Co2AgH after structural relaxation, as listed in the Alexandria database.

Results
total moment	0.00	Bohr magnetons per cell
calculated total energy	-4.75	eV per atom

Cell and atoms, written as extended XYZ:
```
16
Lattice="2.152 -6.899 0.000 2.152 6.899 0.000 0.000 0.000 14.702" Properties=species:S:1:pos:R:3 pbc="T T T"
Ac 0.000 0.000 0.000
Ac 0.000 0.000 7.351
Ac 2.152 3.206 8.972
Ac 2.152 3.206 13.080
Ac 2.152 1.011 3.675
Ac 2.152 -1.011 11.026
Ac 2.152 -3.206 1.621
Ac 2.152 -3.206 5.730
Co 2.152 1.739 0.949
Co 2.152 1.739 6.402
Co 2.152 -1.739 8.300
Co 2.152 -1.739 13.753
Ag 2.152 5.292 3.675
Ag 2.152 -5.292 11.026
H 2.152 4.674 11.026
H 2.152 -4.674 3.675
```